# 1
A plane-wave DFT calculation with PBE was carried out for a geometry-optimized CaHf2Tc structure.

abc: 4.8864 4.8864 4.8864
angles: 60.00 60.00 60.00
Element x y z (fractional)
1 Ca 0.0000 0.0000 0.0000
2 Hf 0.2500 0.2500 0.2500
3 Hf 0.7500 0.7500 0.7500
4 Tc 0.5000 0.5000 0.5000

magnetic moment = 0.000 μB/cell
DOS at the Fermi energy = 0.783 states/eV per atom
energy of formation = 0.224 eV/atom
final energy = -31.4 eV/cell
E above lowest polymorph = 0 meV per atom



# 2
A plane-wave DFT calculation with PBE was carried out for a geometry-optimized La2PrTe4 structure.

abc: 9.0730 9.0730 9.0730
angles: 119.64 119.43 90.81
Element x y z (fractional)
1 La 0.0000 0.0000 0.0000
2 La 0.5000 0.0000 0.0000
3 La 0.5000 0.0000 0.5000
4 La 0.5000 0.5000 0.5000
5 Pr 0.0000 0.0000 0.5000
6 Pr 0.0000 0.5000 0.0000
7 Te 0.2411 0.7427 0.4984
8 Te 0.2493 0.2497 0.5004
9 Te 0.2493 0.7490 0.9996
10 Te 0.2557 0.2573 0.9984
11 Te 0.7443 0.7427 0.0016
12 Te 0.7507 0.2510 0.0004
13 Te 0.7507 0.7503 0.4996
14 Te 0.7589 0.2573 0.5016

magnetic moment = 0.000 μB/cell
DOS at the Fermi energy = 0.362 states/eV per atom
final energy = -75.9 eV/cell
formation energy without anion corrections = -1539 meV/atom
E above lowest polymorph = 0 meV per atom